NdLu2N: optimized geometry, PBE-GGA.

Results
Crystal system   tetragonal
Energy relative to the lowest polymorph listed for this composition   0.544 eV per atom
SG   No. 123

abc: 3.126 3.126 8.770
angles: 90.00 90.00 90.00
Positions (direct):
Lu: 0.000 0.000 0.841
Lu: 0.000 0.000 0.159
Nd: 0.500 0.500 0.500
N: 0.500 0.500 0.000



CeTm2Th6: optimized geometry, PBE-GGA.

Results
Crystal system   orthorhombic
Energy of formation   3.15 kcal/mol of atoms
SG   No. 21

abc: 6.107 6.128 8.712
angles: 90.00 90.00 119.89
Positions (direct):
Ce: 0.500 0.000 0.000
Tm: 0.000 0.500 0.667
Tm: 0.500 0.500 0.333
Th: 0.832 0.665 0.000
Th: 0.342 0.166 0.669
Th: 0.824 0.166 0.331
Th: 0.168 0.335 0.000
Th: 0.658 0.834 0.669
Th: 0.176 0.834 0.331



AlCr2Cl: optimized geometry, PBE-GGA.

Results
Crystal system   trigonal
Energy relative to the lowest polymorph listed for this composition   0.072 eV per atom
SG   No. 160

abc: 7.861 7.861 7.861
angles: 22.17 22.17 22.17
Site moments in Bohr magnetons follow the coordinates.
Positions (direct):
Cr: 0.993 0.993 0.993  2.30
Cr: 0.256 0.256 0.256  -1.59
Al: 0.505 0.505 0.505  0.03
Cl: 0.746 0.746 0.746  0.02



MnSn2Os2: optimized geometry, PBE-GGA.

Results
Crystal system   tetragonal
Energy of formation   8.01 kcal/mol of atoms
SG   No. 127

abc: 6.660 6.660 4.076
angles: 90.00 90.00 90.00
Site moments in Bohr magnetons follow the coordinates.
Positions (direct):
Mn: 0.000 0.000 0.000  3.39
Mn: 0.500 0.500 0.000  3.40
Os: 0.365 0.865 0.000  -0.17
Os: 0.865 0.635 0.000  -0.14
Os: 0.635 0.135 0.000  -0.17
Os: 0.135 0.365 0.000  -0.14
Sn: 0.172 0.672 0.500  -0.02
Sn: 0.672 0.828 0.500  -0.01
Sn: 0.828 0.328 0.500  -0.02
Sn: 0.328 0.172 0.500  -0.01



| no. | electronic total energy (eV per atom) |
| --- | --- |
| 1 | -5.734 |
| 2 | -6.463 |
| 3 | -6.119 |
| 4 | -7.579 |